1.
DFT (PBE) results for Mg2Zn2Pb after structural relaxation.

Structure (CIF):
```
data_Mg2Zn2Pb
_symmetry_space_group_name_H-M 'P 1'
_symmetry_Int_Tables_number 1
_cell_length_a 4.373
_cell_length_b 4.373
_cell_length_c 11.752
_cell_angle_alpha 90.00
_cell_angle_beta 90.00
_cell_angle_gamma 90.00
loop_
_symmetry_equiv_pos_as_xyz
'x,y,z'
loop_
_atom_site_label
_atom_site_type_symbol
_atom_site_fract_x
_atom_site_fract_y
_atom_site_fract_z
Mg1 Mg 0.000 0.500 0.250
Mg2 Mg 0.000 0.500 0.750
Mg3 Mg 0.500 0.000 0.250
Mg4 Mg 0.500 0.000 0.750
Zn1 Zn 0.000 0.000 0.104
Zn2 Zn 0.000 0.000 0.896
Zn3 Zn 0.500 0.500 0.396
Zn4 Zn 0.500 0.500 0.604
Pb1 Pb 0.000 0.000 0.500
Pb2 Pb 0.500 0.500 0.000
```

Values from the calculation:
As for the space group: I4/mmm, No. 139. As for the distance to the lowest polymorph of the same formula: 94 meV per atom. Its volume is 224.77 Å³/cell. Its energy relative to the elements is 6 kJ/mol of atoms.

2.
DFT (PBE) results for Os2RuRh after structural relaxation.

Structure (CIF):
```
data_Os2RuRh
_symmetry_space_group_name_H-M 'P 1'
_symmetry_Int_Tables_number 1
_cell_length_a 2.715
_cell_length_b 3.853
_cell_length_c 5.425
_cell_angle_alpha 90.00
_cell_angle_beta 90.00
_cell_angle_gamma 90.00
loop_
_symmetry_equiv_pos_as_xyz
'x,y,z'
loop_
_atom_site_label
_atom_site_type_symbol
_atom_site_fract_x
_atom_site_fract_y
_atom_site_fract_z
Os1 Os 0.000 0.000 0.000
Os2 Os 0.500 0.500 0.245
Ru1 Ru 0.500 0.500 0.751
Rh1 Rh 0.000 0.000 0.499
```

Values from the calculation:
As for the space group: Pmm2, No. 25. As for the distance to the lowest polymorph of the same formula: 0 meV per atom. Its volume is 56.74 Å³/cell. Its energy relative to the elements is 8 kJ/mol of atoms.

3.
DFT (PBE) results for CrTc2PbBr after structural relaxation.

Structure (CIF):
```
data_CrTc2PbBr
_symmetry_space_group_name_H-M 'P 1'
_symmetry_Int_Tables_number 1
_cell_length_a 4.672
_cell_length_b 4.672
_cell_length_c 4.795
_cell_angle_alpha 90.00
_cell_angle_beta 90.00
_cell_angle_gamma 90.00
loop_
_symmetry_equiv_pos_as_xyz
'x,y,z'
loop_
_atom_site_label
_atom_site_type_symbol
_atom_site_fract_x
_atom_site_fract_y
_atom_site_fract_z
Cr1 Cr 0.000 0.000 0.000
Tc1 Tc 0.000 0.500 0.000
Tc2 Tc 0.500 0.000 0.000
Pb1 Pb 0.500 0.500 0.500
Br1 Br 0.000 0.000 0.500
```

Values from the calculation:
As for the space group: P4/mmm, No. 123. The calculation puts the uncorrected formation energy at 1168 meV per atom. Its volume is 104.67 Å³/cell.

4.
DFT (PBE) results for CsSn2Te2 after structural relaxation.

Structure (CIF):
```
data_CsSn2Te2
_symmetry_space_group_name_H-M 'P 1'
_symmetry_Int_Tables_number 1
_cell_length_a 5.902
_cell_length_b 5.902
_cell_length_c 11.212
_cell_angle_alpha 90.00
_cell_angle_beta 90.00
_cell_angle_gamma 90.00
loop_
_symmetry_equiv_pos_as_xyz
'x,y,z'
loop_
_atom_site_label
_atom_site_type_symbol
_atom_site_fract_x
_atom_site_fract_y
_atom_site_fract_z
Cs1 Cs 0.000 0.000 0.000
Cs2 Cs 0.500 0.500 0.500
Sn1 Sn 0.000 0.000 0.350
Sn2 Sn 0.000 0.000 0.650
Sn3 Sn 0.500 0.500 0.150
Sn4 Sn 0.500 0.500 0.850
Te1 Te 0.000 0.500 0.250
Te2 Te 0.000 0.500 0.750
Te3 Te 0.500 0.000 0.250
Te4 Te 0.500 0.000 0.750
```

Values from the calculation:
As for the space group: I4/mmm, No. 139. As for the distance to the lowest polymorph of the same formula: 0 meV per atom. The calculation puts the uncorrected formation energy at -449 meV per atom. Its volume is 390.55 Å³/cell.

5.
DFT (PBE) results for Mg2SiPdO after structural relaxation.

Structure (CIF):
```
data_Mg2SiPdO
_symmetry_space_group_name_H-M 'P 1'
_symmetry_Int_Tables_number 1
_cell_length_a 4.010
_cell_length_b 4.010
_cell_length_c 4.497
_cell_angle_alpha 90.00
_cell_angle_beta 90.00
_cell_angle_gamma 90.00
loop_
_symmetry_equiv_pos_as_xyz
'x,y,z'
loop_
_atom_site_label
_atom_site_type_symbol
_atom_site_fract_x
_atom_site_fract_y
_atom_site_fract_z
Mg1 Mg 0.000 0.500 0.000
Mg2 Mg 0.500 0.000 0.000
Si1 Si 0.000 0.000 0.500
Pd1 Pd 0.500 0.500 0.500
O1 O 0.000 0.000 0.000
```

Values from the calculation:
As for the space group: P4/mmm, No. 123. The calculation puts the uncorrected formation energy at -851 meV per atom. Its volume is 72.31 Å³/cell.

6.
DFT (PBE) results for ZnSb2Rh after structural relaxation.

Structure (CIF):
```
data_ZnSb2Rh
_symmetry_space_group_name_H-M 'P 1'
_symmetry_Int_Tables_number 1
_cell_length_a 8.406
_cell_length_b 3.499
_cell_length_c 6.421
_cell_angle_alpha 90.00
_cell_angle_beta 109.70
_cell_angle_gamma 90.00
loop_
_symmetry_equiv_pos_as_xyz
'x,y,z'
loop_
_atom_site_label
_atom_site_type_symbol
_atom_site_fract_x
_atom_site_fract_y
_atom_site_fract_z
Zn1 Zn 0.000 0.000 0.000
Zn2 Zn 0.500 0.500 0.000
Sb1 Sb 0.276 0.500 0.206
Sb2 Sb 0.499 0.000 0.641
Sb3 Sb 0.776 0.000 0.206
Sb4 Sb 0.999 0.500 0.641
Rh1 Rh 0.251 0.000 0.855
Rh2 Rh 0.751 0.500 0.855
```

Values from the calculation:
As for the space group: Cm, No. 8. The calculation puts the uncorrected formation energy at -113 meV per atom. Its volume is 177.79 Å³/cell.

7.
DFT (PBE) results for SiO after structural relaxation.

Structure (CIF):
```
data_SiO
_symmetry_space_group_name_H-M 'P 1'
_symmetry_Int_Tables_number 1
_cell_length_a 4.043
_cell_length_b 5.354
_cell_length_c 6.396
_cell_angle_alpha 90.00
_cell_angle_beta 90.00
_cell_angle_gamma 90.00
loop_
_symmetry_equiv_pos_as_xyz
'x,y,z'
loop_
_atom_site_label
_atom_site_type_symbol
_atom_site_fract_x
_atom_site_fract_y
_atom_site_fract_z
Si1 Si 0.000 0.250 0.151
Si2 Si 0.000 0.750 0.849
Si3 Si 0.500 0.250 0.349
Si4 Si 0.500 0.750 0.651
O1 O 0.000 0.000 0.000
O2 O 0.000 0.500 0.000
O3 O 0.500 0.000 0.500
O4 O 0.500 0.500 0.500
```

Values from the calculation:
As for the space group: Imma, No. 74. The calculation puts the uncorrected formation energy at -1825 meV per atom. Its volume is 138.44 Å³/cell.

8.
DFT (PBE) results for Rb2IrWCl6 after structural relaxation.

Structure (CIF):
```
data_Rb2IrWCl6
_symmetry_space_group_name_H-M 'P 1'
_symmetry_Int_Tables_number 1
_cell_length_a 7.301
_cell_length_b 7.301
_cell_length_c 7.301
_cell_angle_alpha 112.82
_cell_angle_beta 112.82
_cell_angle_gamma 102.96
loop_
_symmetry_equiv_pos_as_xyz
'x,y,z'
loop_
_atom_site_label
_atom_site_type_symbol
_atom_site_fract_x
_atom_site_fract_y
_atom_site_fract_z
Rb1 Rb 0.250 0.750 0.500
Rb2 Rb 0.750 0.250 0.500
Ir1 Ir 0.000 0.000 0.000
W1 W 0.500 0.500 0.000
Cl1 Cl 0.243 0.243 0.000
Cl2 Cl 0.286 0.286 0.571
Cl3 Cl 0.286 0.714 0.000
Cl4 Cl 0.714 0.286 0.000
Cl5 Cl 0.714 0.714 0.429
Cl6 Cl 0.757 0.757 0.000
```

Values from the calculation:
As for the space group: I4/mmm, No. 139. The calculation puts the uncorrected formation energy at -711 meV per atom. Its volume is 296.68 Å³/cell.

| no. | total moment (Bohr magnetons per cell) | Fermi-level density of states (states/eV/cell) |
| --- | --- | --- |
| 1 | 0.00 | 4.9 |
| 2 | 0.00 | 3.6 |
| 3 | 1.86 | 4.6 |
| 4 | 0.00 | 2.5 |
| 5 | 0.00 | 1.6 |
| 6 | 0.00 | 3.7 |
| 7 | 0.00 | 0.2 |
| 8 | 1.00 | 5.4 |